(1)
This record from Alexandria describes a relaxed structure of MgSiAs2. The functional is PBE-GGA.

Summary:
Energy relative to the elements, uncorrected: 0.0294 eV per atom
DOS(E_F): 1.028 states/eV/cell
Size of the total moment: 0.00 μB/cell
Distance to the lowest polymorph of the same formula: 345.9 meV/atom
Space-group type: P2/m, No. 10

Unit cell a=4.7726 b=3.6262 c=4.9569 alpha=90.00 beta=107.30 gamma=90.00
Last column: nearest neighbours and their distance in Å.
Fractional coordinates of all 4 atoms:
1 Mg 0.0000 0.0000 0.0000  4 As 2.83, 2 Si 2.88
2 Si 0.5000 0.0000 0.5000  4 As 2.53
3 As 0.3131 0.5000 0.7591  1 As 2.52, 2 Si 2.53
4 As 0.6869 0.5000 0.2409  1 As 2.52, 2 Si 2.53

***

(2)
This record from Alexandria describes a relaxed structure of Li2TaBe. The functional is PBE-GGA.

Summary:
DOS(E_F): 2.303 states/eV/cell
Size of the total moment: 0.00 μB/cell
Energy of formation from the pure elements: 0.3986 eV/atom
Space-group type: P2/m, No. 10

Unit cell a=2.5643 b=4.6588 c=4.8492 alpha=90.00 beta=93.87 gamma=90.00
Last column: nearest neighbours and their distance in Å.
Fractional coordinates of all 4 atoms:
1 Li 0.1645 0.0000 0.2615  5 Li 2.51-2.79, 2 Be 2.65, 2 Ta 2.81
2 Li 0.8355 0.0000 0.7385  5 Li 2.51-2.79, 2 Be 2.65, 2 Ta 2.81
3 Ta 0.5000 0.5000 0.0000  2 Ta 2.56, 4 Be 2.67-2.82, 4 Li 2.81
4 Be 0.0000 0.5000 0.5000  2 Be 2.56, 4 Li 2.65, 4 Ta 2.67-2.82

***

(3)
This record from Alexandria describes a relaxed structure of KMn2Cl. The functional is PBE-GGA.

Summary:
Energy relative to the elements, uncorrected: 0.1355 eV per atom
DOS(E_F): 0.730 states/eV/cell
Size of the total moment: 7.91 μB/cell
Distance to the lowest polymorph of the same formula: 84.6 meV/atom
Space-group type: Cm, No. 8

Unit cell a=3.3366 b=3.3366 c=9.4022 alpha=100.04 beta=100.04 gamma=59.92
Last column: nearest neighbours and their distance in Å.
Fractional coordinates of all 4 atoms:
1 K 0.0000 0.0000 0.0000  3 Cl 3.03, 6 K 3.33-3.34
2 Mn 0.2170 0.2170 0.6631  3 Mn 2.75
3 Mn 0.4807 0.4807 0.4502  3 Cl 2.64-2.65, 3 Mn 2.75
4 Cl 0.7501 0.7501 0.2535  3 Mn 2.64-2.65

***

(4)
This record from Alexandria describes a relaxed structure of Li4IO5. The functional is PBE-GGA.

Summary:
Energy relative to the elements, uncorrected: -1.3817 eV per atom
DOS(E_F): 1.535 states/eV/cell
Size of the total moment: 0.92 μB/cell
Space-group type: I4, No. 79

Unit cell a=5.2181 b=5.2181 c=5.2181 alpha=100.70 beta=100.70 gamma=128.95
Last column: nearest neighbours and their distance in Å.
Fractional coordinates of all 10 atoms:
1 Li 0.0952 0.6919 0.7872  6 O 2.04-2.26
2 Li 0.3081 0.0952 0.4033  6 O 2.04-2.26
3 Li 0.6919 0.9048 0.5967  6 O 2.04-2.26
4 Li 0.9048 0.3081 0.2128  6 O 2.04-2.26
5 I 0.4862 0.4862 0.0000  5 O 1.89-1.96
6 O 0.0654 0.0654 0.0000  1 I 1.89
7 O 0.2195 0.4130 0.6307  1 I 1.96, 2 Li 2.04-2.19
8 O 0.4130 0.7823 0.1935  1 I 1.96, 2 Li 2.04-2.19
9 O 0.5888 0.2195 0.8065  1 I 1.96, 2 Li 2.04-2.19
10 O 0.7823 0.5888 0.3693  1 I 1.96, 2 Li 2.04-2.19

***

(5)
This record from Alexandria describes a relaxed structure of ZrTa2In. The functional is PBE-GGA.

Summary:
DOS(E_F): 3.440 states/eV/cell
Size of the total moment: 0.00 μB/cell
Energy of formation from the pure elements: 0.1072 eV/atom
Space-group type: C2/m, No. 12

Unit cell a=5.3211 b=5.3211 c=5.2864 alpha=99.67 beta=99.67 gamma=33.13
Last column: nearest neighbours and their distance in Å.
Fractional coordinates of all 4 atoms:
1 Zr 0.0000 0.0000 0.0000  2 Zr 3.03, 6 Ta 3.04-3.12, 4 In 3.05
2 Ta 0.2439 0.2439 0.7424  6 Ta 3.00-3.10, 3 In 3.00-3.10, 3 Zr 3.04-3.12
3 Ta 0.7561 0.7561 0.2576  6 Ta 3.00-3.10, 3 In 3.00-3.10, 3 Zr 3.04-3.12
4 In 0.5000 0.5000 0.5000  6 Ta 3.00-3.10, 2 In 3.03, 4 Zr 3.05

***

(6)
This record from Alexandria describes a relaxed structure of EuAs. The functional is PBE-GGA.

Summary:
DOS(E_F): 65.125 states/eV/cell
Size of the total moment: 40.49 μB/cell
Energy of formation from the pure elements: -1.1420 eV/atom
Space-group type: P-62m, No. 189

Unit cell a=7.8958 b=7.8958 c=6.3159 alpha=90.00 beta=90.00 gamma=120.00
Last column: nearest neighbours and their distance in Å.
Fractional coordinates of all 12 atoms:
1 Eu 0.0000 0.3214 0.0000  6 As 3.06-3.14
2 Eu 0.0000 0.6470 0.5000  6 As 3.06-3.08
3 Eu 0.3214 0.0000 0.0000  6 As 3.06-3.14
4 Eu 0.3530 0.3530 0.5000  6 As 3.06-3.08
5 Eu 0.6470 0.0000 0.5000  6 As 3.06-3.08
6 Eu 0.6786 0.6786 0.0000  6 As 3.06-3.14
7 As 0.0000 0.0000 0.2932  1 As 2.61
8 As 0.0000 0.0000 0.7068  1 As 2.61
9 As 0.3333 0.6667 0.2348  1 As 2.97, 6 Eu 3.06
10 As 0.3333 0.6667 0.7652  1 As 2.97, 6 Eu 3.06
11 As 0.6667 0.3333 0.2348  1 As 2.97, 6 Eu 3.06
12 As 0.6667 0.3333 0.7652  1 As 2.97, 6 Eu 3.06

***

Question: Which of these has the highest DOS(E_F)?
Answer: EuAs

***

Question: Which of these has the highest DOS(E_F)?
Answer: EuAs

***

Question: Number 4 is which compound?
Answer: Li4IO5